! BaFe2F7 PBE+U relaxed; values from VASP
! Total moment ... 9.0 μB per cell
! E_tot ... -5.458 eV/atom
&SYSTEM
  ibrav = 0, nat = 10, ntyp = 3
/
ATOMIC_SPECIES
Ba 137.33 Ba.upf
Fe 55.84 Fe.upf
F 19.00 F.upf
ATOMIC_POSITIONS angstrom
Ba 0.000 0.000 0.000
Fe 3.331 2.006 1.998
Fe 3.331 -2.006 1.998
F 1.239 1.479 1.998
F 3.331 2.191 0.000
F 1.239 -1.479 1.998
F 3.331 0.000 1.998
F 5.422 1.479 1.998
F 3.331 -2.191 0.000
F 5.422 -1.479 1.998
CELL_PARAMETERS angstrom
3.331 -5.256 0.000
3.331 5.256 0.000
0.000 0.000 3.995